# MoRuRh2

MoRuRh2 after structural relaxation (PBE-GGA, Alexandria via LeMat-Bulk).

POSCAR file:
```
MoRuRh2
1.0
6.184 0.000 0.000
0.000 6.184 0.000
0.000 0.000 6.184
Mo Ru Rh
4 4 8
direct
0.000 0.000 0.000
0.000 0.500 0.500
0.500 0.000 0.500
0.500 0.500 0.000
0.250 0.250 0.750
0.250 0.750 0.250
0.750 0.250 0.250
0.750 0.750 0.750
0.000 0.000 0.500
0.000 0.500 0.000
0.250 0.250 0.250
0.250 0.750 0.750
0.500 0.000 0.000
0.500 0.500 0.500
0.750 0.250 0.750
0.750 0.750 0.250
```

Space group: F-43m, No. 216
D(E_F): 26.44 states/eV/cell
Relative energy among the computed polymorphs: 0.431 eV per atom
Raw total energy: -135.670 eV for the cell shown

=====

# BeAl2Pt

BeAl2Pt after structural relaxation (PBE-GGA, Alexandria via LeMat-Bulk).

POSCAR file:
```
BeAl2Pt
1.0
2.872 0.000 0.000
-1.436 2.487 0.000
0.000 0.000 24.106
Be Al Pt
3 6 3
direct
0.000 0.000 0.000
0.333 0.667 0.667
0.667 0.333 0.333
0.000 0.000 0.510
0.000 0.000 0.748
0.333 0.667 0.177
0.333 0.667 0.415
0.667 0.333 0.081
0.667 0.333 0.844
0.000 0.000 0.262
0.333 0.667 0.929
0.667 0.333 0.595
```

Space group: R3m, No. 160
D(E_F): 6.95 states/eV/cell
Raw total energy: -54.854 eV for the cell shown

=====

# Al2BF

Al2BF after structural relaxation (PBE-GGA, Alexandria via LeMat-Bulk).

POSCAR file:
```
Al2BF
1.0
4.748 0.000 0.000
0.000 4.748 0.000
0.000 0.000 10.555
Al B F
8 4 4
direct
0.204 0.250 0.125
0.250 0.704 0.375
0.250 0.796 0.875
0.296 0.250 0.625
0.704 0.750 0.625
0.750 0.204 0.875
0.750 0.296 0.375
0.796 0.750 0.125
0.000 0.000 0.000
0.000 0.500 0.250
0.500 0.000 0.750
0.500 0.500 0.500
0.000 0.000 0.500
0.000 0.500 0.750
0.500 0.000 0.250
0.500 0.500 0.000
```

Space group: I-42d, No. 122
D(E_F): 0.00 states/eV/cell
Relative energy among the computed polymorphs: 0.000 eV per atom
Raw total energy: -74.567 eV for the cell shown

=====

# ZnIn2Si

ZnIn2Si after structural relaxation (PBE-GGA, Alexandria via LeMat-Bulk).

POSCAR file:
```
ZnIn2Si
1.0
3.340 0.000 0.000
0.000 4.087 0.000
-0.735 0.000 6.252
Zn In Si
1 2 1
direct
0.000 0.000 0.000
0.492 0.500 0.750
0.508 0.500 0.250
0.000 0.000 0.500
```

Space group: P2/m, No. 10
D(E_F): 0.86 states/eV/cell
Relative energy among the computed polymorphs: 0.108 eV per atom
Raw total energy: -11.018 eV for the cell shown

=====

# Tb5TmS6

Tb5TmS6 after structural relaxation (PBE-GGA, Alexandria via LeMat-Bulk).

POSCAR file:
```
Tb5TmS6
1.0
3.388 -5.882 0.000
3.388 5.882 0.000
-2.277 0.000 6.372
Tb Tm S
5 1 6
direct
0.000 0.000 0.000
0.167 0.833 0.500
0.331 0.669 0.000
0.669 0.331 0.000
0.833 0.167 0.500
0.500 0.500 0.500
0.090 0.418 0.253
0.254 0.254 0.748
0.418 0.090 0.253
0.582 0.910 0.747
0.746 0.746 0.252
0.910 0.582 0.747
```

Space group: C2/m, No. 12
D(E_F): 4.18 states/eV/cell
Raw total energy: -76.381 eV for the cell shown

=====

# Er3Tm7Pb

Er3Tm7Pb after structural relaxation (PBE-GGA, Alexandria via LeMat-Bulk).

POSCAR file:
```
Er3Tm7Pb
1.0
6.884 0.000 0.000
-3.442 5.961 0.000
0.000 0.000 8.421
Er Tm Pb
3 7 1
direct
0.168 0.336 0.000
0.168 0.832 0.000
0.664 0.832 0.000
0.006 0.503 0.659
0.332 0.166 0.336
0.333 0.667 0.324
0.497 0.503 0.659
0.497 0.994 0.659
0.834 0.166 0.336
0.834 0.668 0.336
0.000 0.000 0.664
```

Space group: P3m1, No. 156
D(E_F): 15.07 states/eV/cell
Raw total energy: -47.354 eV for the cell shown

=====

# Ho3In4Hg2

Ho3In4Hg2 after structural relaxation (PBE-GGA, Alexandria via LeMat-Bulk).

POSCAR file:
```
Ho3In4Hg2
1.0
5.599 -2.456 0.000
5.599 2.456 0.000
-4.375 0.000 8.182
Ho In Hg
3 4 2
direct
0.000 0.000 0.000
0.331 0.331 0.338
0.669 0.669 0.662
0.035 0.035 0.368
0.281 0.281 0.943
0.719 0.719 0.057
0.965 0.965 0.632
0.368 0.368 0.699
0.632 0.632 0.301
```

Space group: C2/m, No. 12
D(E_F): 5.01 states/eV/cell
Relative energy among the computed polymorphs: 0.000 eV per atom
Raw total energy: -28.824 eV for the cell shown

=====

# MnCrFe2

MnCrFe2 after structural relaxation (PBE-GGA, Alexandria via LeMat-Bulk).

POSCAR file:
```
MnCrFe2
1.0
8.224 0.000 0.000
0.000 2.485 0.000
-0.754 0.000 4.283
Mn Cr Fe
2 2 4
direct
0.000 0.000 0.000
0.500 0.500 0.000
0.247 0.000 0.723
0.747 0.500 0.723
0.245 0.500 0.221
0.495 0.000 0.485
0.745 0.000 0.221
0.995 0.500 0.485
```

Space group: Cm, No. 8
D(E_F): 10.66 states/eV/cell
Raw total energy: -70.470 eV for the cell shown

=====

# MgTa2Os

MgTa2Os after structural relaxation (PBE-GGA, Alexandria via LeMat-Bulk).

POSCAR file:
```
MgTa2Os
1.0
4.168 0.000 0.000
0.000 4.187 0.000
0.000 0.000 8.357
Mg Ta Os
2 4 2
direct
0.000 0.000 0.000
0.500 0.500 0.000
0.000 0.500 0.288
0.000 0.500 0.712
0.500 0.000 0.288
0.500 0.000 0.712
0.000 0.000 0.500
0.500 0.500 0.500
```

Space group: Cmmm, No. 65
D(E_F): 8.92 states/eV/cell
Raw total energy: -72.313 eV for the cell shown

=====

# Ac6GeTe3P2

Ac6GeTe3P2 after structural relaxation (PBE-GGA, Alexandria via LeMat-Bulk).

POSCAR file:
```
Ac6GeTe3P2
1.0
3.958 -6.856 0.000
3.958 6.856 0.000
-2.635 0.000 7.733
Ac Ge Te P
6 1 3 2
direct
0.090 0.427 0.780
0.237 0.237 0.220
0.427 0.090 0.780
0.573 0.910 0.220
0.763 0.763 0.780
0.910 0.573 0.220
0.500 0.500 0.000
0.000 0.000 0.500
0.334 0.666 0.500
0.666 0.334 0.500
0.167 0.833 0.000
0.833 0.167 0.000
```

Space group: C2/m, No. 12
D(E_F): 3.30 states/eV/cell
Raw total energy: -66.975 eV for the cell shown

=====

# Tb2PmOs

Tb2PmOs after structural relaxation (PBE-GGA, Alexandria via LeMat-Bulk).

POSCAR file:
```
Tb2PmOs
1.0
3.994 0.000 0.000
0.000 12.159 0.000
0.000 0.000 9.127
Tb Pm Os
8 4 4
direct
0.000 0.146 0.068
0.000 0.146 0.432
0.000 0.854 0.568
0.000 0.854 0.932
0.500 0.354 0.568
0.500 0.354 0.932
0.500 0.646 0.068
0.500 0.646 0.432
0.000 0.425 0.250
0.000 0.575 0.750
0.500 0.075 0.750
0.500 0.925 0.250
0.000 0.244 0.750
0.000 0.756 0.250
0.500 0.256 0.250
0.500 0.744 0.750
```

Space group: Cmcm, No. 63
D(E_F): 15.58 states/eV/cell
Relative energy among the computed polymorphs: 0.017 eV per atom
Raw total energy: -103.924 eV for the cell shown

=====

# ZnAuSe2

ZnAuSe2 after structural relaxation (PBE-GGA, Alexandria via LeMat-Bulk).

POSCAR file:
```
ZnAuSe2
1.0
2.867 0.000 0.000
0.000 2.867 0.000
0.000 0.000 10.082
Zn Au Se
1 1 2
direct
0.000 0.000 0.000
0.500 0.500 0.183
0.000 0.000 0.446
0.500 0.500 0.799
```

Space group: P4mm, No. 99
D(E_F): 2.00 states/eV/cell
Raw total energy: -10.932 eV for the cell shown

=====

# TcNi2Hg

TcNi2Hg after structural relaxation (PBE-GGA, Alexandria via LeMat-Bulk).

POSCAR file:
```
TcNi2Hg
1.0
6.818 0.000 0.000
0.000 6.818 0.000
0.000 0.000 5.468
Tc Ni Hg
4 8 4
direct
0.000 0.000 0.000
0.000 0.500 0.250
0.500 0.000 0.750
0.500 0.500 0.500
0.221 0.250 0.125
0.250 0.721 0.375
0.250 0.779 0.875
0.279 0.250 0.625
0.721 0.750 0.625
0.750 0.221 0.875
0.750 0.279 0.375
0.779 0.750 0.125
0.000 0.000 0.500
0.000 0.500 0.750
0.500 0.000 0.250
0.500 0.500 0.000
```

Space group: I-42d, No. 122
D(E_F): 22.90 states/eV/cell
Raw total energy: -76.970 eV for the cell shown

=====

# Li5Ca6Pd

Li5Ca6Pd after structural relaxation (PBE-GGA, Alexandria via LeMat-Bulk).

POSCAR file:
```
Li5Ca6Pd
1.0
-2.711 3.952 8.097
2.711 -3.952 8.097
2.711 3.952 -8.097
Li Ca Pd
5 6 1
direct
0.000 0.000 0.000
0.166 0.666 0.500
0.317 0.317 0.000
0.683 0.683 0.000
0.834 0.334 0.500
0.110 0.844 0.265
0.277 0.500 0.777
0.421 0.156 0.265
0.579 0.844 0.735
0.723 0.500 0.223
0.890 0.156 0.735
0.500 0.000 0.500
```

Space group: Immm, No. 71
D(E_F): 8.53 states/eV/cell
Raw total energy: -28.012 eV for the cell shown

=====

# La4Nd2Al

La4Nd2Al after structural relaxation (PBE-GGA, Alexandria via LeMat-Bulk).

POSCAR file:
```
La4Nd2Al
1.0
6.426 0.000 0.000
0.000 11.083 0.000
-0.075 0.000 6.678
La Nd Al
8 4 2
direct
0.083 0.150 0.052
0.083 0.350 0.552
0.396 0.733 0.769
0.396 0.767 0.269
0.604 0.233 0.731
0.604 0.267 0.231
0.917 0.650 0.448
0.917 0.850 0.948
0.252 0.030 0.567
0.252 0.470 0.067
0.748 0.530 0.933
0.748 0.970 0.433
0.500 0.000 0.000
0.500 0.500 0.500
```

Space group: P2_1/c, No. 14
D(E_F): 21.26 states/eV/cell
Relative energy among the computed polymorphs: 0.000 eV per atom
Raw total energy: -66.159 eV for the cell shown

=====

# ZrAsRhF2

ZrAsRhF2 after structural relaxation (PBE-GGA, Alexandria via LeMat-Bulk).

POSCAR file:
```
ZrAsRhF2
1.0
3.941 0.000 0.000
0.000 3.941 0.000
0.000 0.000 5.925
Zr As Rh F
1 1 1 2
direct
0.000 0.000 0.000
0.000 0.000 0.500
0.500 0.500 0.000
0.000 0.500 0.500
0.500 0.000 0.500
```

Space group: P4/mmm, No. 123
D(E_F): 2.36 states/eV/cell
Raw total energy: -27.670 eV for the cell shown

=====

# TeP2SCl

TeP2SCl after structural relaxation (PBE-GGA, Alexandria via LeMat-Bulk).

POSCAR file:
```
TeP2SCl
1.0
4.708 0.000 0.000
0.000 4.708 0.000
0.000 0.000 4.757
Te P S Cl
1 2 1 1
direct
0.000 0.000 0.000
0.000 0.500 0.500
0.500 0.000 0.500
0.500 0.500 0.000
0.500 0.500 0.500
```

Space group: P4/mmm, No. 123
D(E_F): 4.73 states/eV/cell
Relative energy among the computed polymorphs: 0.513 eV per atom
Raw total energy: -13.778 eV for the cell shown